This record from the Alexandria database describes Cs2AlCrI6 after structural relaxation. The functional is PBE.

Calculated values
E: -3.2464 eV/atom
Formation energy (no corrections): -8.090 eV per formula unit

Cell lengths 11.669, 11.669, 11.669 Å; angles 90.00, 90.00, 90.00 degrees
Space group Fm-3m (No. 225)
Inequivalent atoms, fractional coordinates:
Cs: 0.250 0.250 0.250
Al: 0.000 0.000 0.000
Cr: 0.000 0.000 0.500
I: 0.000 0.000 0.247